A plane-wave DFT calculation with PBE was carried out for an optimized crystal structure of TaTePb2.

The structure in POSCAR format:
```
TaTePb2
1.0
3.3351 -4.5990 0.0000
3.3351 4.5990 0.0000
0.0000 0.0000 3.3153
Ta Te Pb
1 1 2
Cartesian
0.0000 0.0000 0.0000 Ta
3.3351 0.0000 0.0000 Te
1.6676 2.2995 1.6577 Pb
1.6676 -2.2995 1.6577 Pb
```

The uncorrected formation energy is 227 kJ/mol of formula units. As for the volume: 25.43 Å³ per atom. Its space group is No. 65.